(1)
DFT (PBE-GGA) results for a relaxed structure of Ac2AlBi.

Structure (POSCAR):
```
Ac2AlBi
1.0
2.192 1.265 11.039
-2.192 1.265 11.039
0.000 -2.531 11.039
Ac Al Bi
2 1 1
Direct
0.101 0.101 0.101
0.899 0.899 0.899
0.000 0.000 0.000
0.500 0.500 0.500
```

Computed properties:
energy relative to the lowest polymorph listed for this composition = 602 meV/atom
DFT formation energy = 0.13 eV per atom
crystal system = trigonal
total magnetization = 0.00 μB/cell


(2)
DFT (PBE-GGA) results for a relaxed structure of AcAlBi.

Structure (POSCAR):
```
AcAlBi
1.0
-1.984 1.984 5.833
1.984 -1.984 5.833
1.984 1.984 -5.833
Ac Al Bi
1 1 1
Direct
0.000 0.000 0.000
0.690 0.690 0.000
0.298 0.298 0.000
```

Computed properties:
energy relative to the lowest polymorph listed for this composition = 126 meV/atom
DFT formation energy = -0.28 eV per atom
crystal system = tetragonal
total magnetization = 0.00 μB/cell


(3)
DFT (PBE-GGA) results for a relaxed structure of Ac2AlBi.

Structure (POSCAR):
```
Ac2AlBi
1.0
0.000 4.099 4.099
4.099 0.000 4.099
4.099 4.099 0.000
Ac Al Bi
2 1 1
Direct
0.250 0.250 0.250
0.750 0.750 0.750
0.000 0.000 0.000
0.500 0.500 0.500
```

Computed properties:
energy relative to the lowest polymorph listed for this composition = 91 meV/atom
DFT formation energy = -0.38 eV per atom
crystal system = cubic
total magnetization = 0.00 μB/cell


(4)
DFT (PBE-GGA) results for a relaxed structure of AcAlBi2.

Structure (POSCAR):
```
AcAlBi2
1.0
1.933 1.116 10.668
-1.933 1.116 10.668
0.000 -2.232 10.668
Ac Al Bi
1 1 2
Direct
0.000 0.000 0.000
0.500 0.500 0.500
0.107 0.107 0.107
0.893 0.893 0.893
```

Computed properties:
energy relative to the lowest polymorph listed for this composition = 505 meV/atom
DFT formation energy = 0.14 eV per atom
crystal system = trigonal
total magnetization = 0.00 μB/cell


(5)
DFT (PBE-GGA) results for a relaxed structure of CaAcAlBi.

Structure (POSCAR):
```
CaAcAlBi
1.0
0.000 3.991 3.991
3.991 0.000 3.991
3.991 3.991 0.000
Ca Ac Al Bi
1 1 1 1
Direct
0.000 0.000 0.000
0.500 0.500 0.500
0.750 0.750 0.750
0.250 0.250 0.250
```

Computed properties:
DFT formation energy = -0.38 eV per atom
crystal system = cubic
total magnetization = 0.00 μB/cell


(6)
DFT (PBE-GGA) results for a relaxed structure of AcAlCdBi.

Structure (POSCAR):
```
AcAlCdBi
1.0
0.000 3.891 3.891
3.891 0.000 3.891
3.891 3.891 0.000
Ac Al Cd Bi
1 1 1 1
Direct
0.000 0.000 0.000
0.750 0.750 0.750
0.250 0.250 0.250
0.500 0.500 0.500
```

Computed properties:
DFT formation energy = -0.14 eV per atom
crystal system = cubic
total magnetization = 0.00 μB/cell


(7)
DFT (PBE-GGA) results for a relaxed structure of AcAlGaBi.

Structure (POSCAR):
```
AcAlGaBi
1.0
0.000 3.843 3.843
3.843 0.000 3.843
3.843 3.843 0.000
Ac Al Ga Bi
1 1 1 1
Direct
0.000 0.000 0.000
0.250 0.250 0.250
0.750 0.750 0.750
0.500 0.500 0.500
```

Computed properties:
DFT formation energy = -0.14 eV per atom
crystal system = cubic
total magnetization = 0.00 μB/cell


(8)
DFT (PBE-GGA) results for a relaxed structure of Ac3Al2Ge4Bi2.

Structure (POSCAR):
```
Ac3Al2Ge4Bi2
1.0
-2.348 2.348 13.867
2.348 -2.348 13.867
2.348 2.348 -13.867
Ac Al Ge Bi
3 2 4 2
Direct
0.000 0.000 0.000
0.178 0.178 0.000
0.822 0.822 0.000
0.453 0.453 0.000
0.547 0.547 0.000
0.092 0.592 0.500
0.408 0.908 0.500
0.592 0.092 0.500
0.908 0.408 0.500
0.303 0.303 0.000
0.697 0.697 0.000
```

Computed properties:
DFT formation energy = -0.43 eV per atom
crystal system = tetragonal
total magnetization = 0.00 μB/cell


(9)
DFT (PBE-GGA) results for a relaxed structure of AcMgAlBi.

Structure (POSCAR):
```
AcMgAlBi
1.0
0.000 3.883 3.883
3.883 0.000 3.883
3.883 3.883 0.000
Ac Mg Al Bi
1 1 1 1
Direct
0.000 0.000 0.000
0.750 0.750 0.750
0.250 0.250 0.250
0.500 0.500 0.500
```

Computed properties:
DFT formation energy = -0.07 eV per atom
crystal system = cubic
total magnetization = 0.00 μB/cell


(10)
DFT (PBE-GGA) results for a relaxed structure of AcAlBiPd.

Structure (POSCAR):
```
AcAlBiPd
1.0
0.000 3.720 3.720
3.720 0.000 3.720
3.720 3.720 0.000
Ac Al Bi Pd
1 1 1 1
Direct
0.000 0.000 0.000
0.250 0.250 0.250
0.500 0.500 0.500
0.750 0.750 0.750
```

Computed properties:
DFT formation energy = -0.36 eV per atom
crystal system = cubic
total magnetization = 0.00 μB/cell


(11)
DFT (PBE-GGA) results for a relaxed structure of Ac2AlBiPd6.

Structure (POSCAR):
```
Ac2AlBiPd6
1.0
6.077 -2.835 0.000
6.077 2.835 0.000
-5.925 0.000 6.625
Ac Al Bi Pd
2 1 1 6
Direct
0.246 0.246 0.269
0.754 0.754 0.731
0.500 0.500 0.000
0.000 0.000 0.500
0.250 0.744 0.765
0.256 0.256 0.918
0.256 0.750 0.235
0.744 0.250 0.765
0.744 0.744 0.082
0.750 0.256 0.235
```

Computed properties:
DFT formation energy = -0.69 eV per atom
crystal system = monoclinic
total magnetization = 0.00 μB/cell


(12)
DFT (PBE-GGA) results for a relaxed structure of Ac3Al2BiPd9.

Structure (POSCAR):
```
Ac3Al2BiPd9
1.0
6.917 0.000 0.000
-3.459 5.990 0.000
0.000 0.000 8.534
Ac Al Bi Pd
3 2 1 9
Direct
0.000 0.000 0.000
0.333 0.667 0.703
0.667 0.333 0.297
0.333 0.667 0.161
0.667 0.333 0.839
0.000 0.000 0.500
0.000 0.500 0.000
0.201 0.402 0.381
0.201 0.799 0.381
0.402 0.201 0.619
0.500 0.000 0.000
0.500 0.500 0.000
0.598 0.799 0.381
0.799 0.201 0.619
0.799 0.598 0.619
```

Computed properties:
DFT formation energy = -0.58 eV per atom
crystal system = trigonal
total magnetization = 0.00 μB/cell


(13)
DFT (PBE-GGA) results for a relaxed structure of AcPmAlBi.

Structure (POSCAR):
```
AcPmAlBi
1.0
0.000 3.983 3.983
3.983 0.000 3.983
3.983 3.983 0.000
Ac Pm Al Bi
1 1 1 1
Direct
0.000 0.000 0.000
0.500 0.500 0.500
0.750 0.750 0.750
0.250 0.250 0.250
```

Computed properties:
DFT formation energy = -0.36 eV per atom
crystal system = cubic
total magnetization = 0.00 μB/cell


(14)
DFT (PBE-GGA) results for a relaxed structure of AcAlBr.

Structure (POSCAR):
```
AcAlBr
1.0
3.891 -2.247 0.000
3.891 2.247 0.000
-0.377 0.000 12.295
Ac Al Br
2 2 2
Direct
0.009 0.009 0.187
0.991 0.991 0.813
0.334 0.334 0.014
0.666 0.666 0.986
0.317 0.317 0.659
0.683 0.683 0.341
```

Computed properties:
energy relative to the lowest polymorph listed for this composition = 0 meV/atom
crystal system = monoclinic
ΔE_f (raw) = -1140 meV per atom
total magnetization = 0.00 μB/cell